[1]
Here is an optimized crystal structure of TiGa6I12 from the Alexandria database. Energies are from PBE.

Cell: 17.7910 17.7910 10.9098 Å, 90.00 90.00 120.00°
Last column: nearest neighbours and their distance in Å.
Space group R-3 (No. 148, hexagonal axes)
One atom of each set of equivalent atoms:
1 Ti 0.0000 0.0000 0.0000  6 Ga 2.65
2 Ga 0.0254 0.9003 0.1550  2 I 2.51-2.81, 1 Ti 2.65
3 I 0.0612 0.8542 0.3536  1 Ga 2.51
4 I 0.0983 0.5652 0.5984  2 Ga 2.81-2.99

Values from the calculation:
Formation energy without anion corrections, meV/atom: -262
Raw total energy, hartree per atom: -0.0960
N(E_F), states/eV per cell: 24.81



[2]
Here is an optimized crystal structure of TiGaI3 from the Alexandria database. Energies are from PBE.

Cell: 5.6736 5.6736 5.6736 Å, 90.00 90.00 90.00°
Last column: nearest neighbours and their distance in Å.
Space group Pm-3m (No. 221)
One atom of each set of equivalent atoms:
1 Ti 0.0000 0.0000 0.0000  12 I 4.01
2 Ga 0.5000 0.5000 0.5000  6 I 2.84
3 I 0.0000 0.5000 0.5000  2 Ga 2.84

Values from the calculation:
Formation energy without anion corrections, meV/atom: 485
Raw total energy, hartree per atom: -0.0966
N(E_F), states/eV per cell: 22.40
Distance to the lowest polymorph of the same formula, meV/atom: 784



[3]
Here is an optimized crystal structure of TiGaI3 from the Alexandria database. Energies are from PBE.

Cell: 5.6897 5.6897 5.6897 Å, 90.00 90.00 90.00°
Last column: nearest neighbours and their distance in Å.
Space group Pm-3m (No. 221)
One atom of each set of equivalent atoms:
1 Ti 0.0000 0.0000 0.0000  6 I 2.84
2 Ga 0.5000 0.5000 0.5000  12 I 4.02
3 I 0.0000 0.0000 0.5000  2 Ti 2.84

Values from the calculation:
Formation energy without anion corrections, meV/atom: -299
Raw total energy, hartree per atom: -0.1254
N(E_F), states/eV per cell: 7.48
Distance to the lowest polymorph of the same formula, meV/atom: 0



[4]
Here is an optimized crystal structure of Ti2GaI6 from the Alexandria database. Energies are from PBE.

Cell: 15.2461 13.9051 7.8557 Å, 90.00 101.66 90.00°
Last column: nearest neighbours and their distance in Å.
Space group C2/c (No. 15)
One atom of each set of equivalent atoms:
1 Ti 0.1996 0.0816 0.2935  4 I 2.65-2.75
2 Ga 0.0000 0.3904 0.2500  6 I 3.20-3.48
3 I 0.1212 0.4143 0.6448  1 Ti 2.68
4 I 0.1250 0.2338 0.1175  1 Ti 2.65
5 I 0.1388 0.0768 0.5998  2 Ti 2.73-2.75

Values from the calculation:
Formation energy without anion corrections, meV/atom: -510
Raw total energy, hartree per atom: -0.1336
N(E_F), states/eV per cell: 41.28



[5]
Here is an optimized crystal structure of TiGaI from the Alexandria database. Energies are from PBE.

Cell: 12.6657 3.7748 6.5378 Å, 90.00 90.00 90.00°
Last column: nearest neighbours and their distance in Å.
Space group Amm2 (No. 38)
One atom of each set of equivalent atoms:
1 Ti 0.1159 0.0000 0.0000  3 Ga 2.63, 3 I 2.86, 1 Ti 2.94
2 Ga 0.0000 0.0000 0.3333  6 Ti 2.63
3 Ga 0.5000 0.0000 0.9981  6 I 3.71-3.72, 6 Ga 3.77
4 I 0.2620 0.0000 0.6667  3 Ti 2.86

Values from the calculation:
Formation energy without anion corrections, meV/atom: -172
Raw total energy, hartree per atom: -0.1591
N(E_F), states/eV per cell: 7.25



[6]
Here is an optimized crystal structure of Ti3GaI from the Alexandria database. Energies are from PBE.

Cell: 4.9713 4.9713 4.9713 Å, 90.00 90.00 90.00°
Last column: nearest neighbours and their distance in Å.
Space group Pm-3m (No. 221)
One atom of each set of equivalent atoms:
1 Ti 0.0000 0.0000 0.5000  2 I 2.49
2 Ga 0.5000 0.5000 0.5000  12 Ti 3.52
3 I 0.0000 0.0000 0.0000  6 Ti 2.49

Values from the calculation:
Formation energy without anion corrections, meV/atom: 986
Raw total energy, hartree per atom: -0.1715
N(E_F), states/eV per cell: 5.17
Distance to the lowest polymorph of the same formula, meV/atom: 358



[7]
Here is an optimized crystal structure of TiGa3I from the Alexandria database. Energies are from PBE.

Cell: 5.2803 5.2803 5.2803 Å, 90.00 90.00 90.00°
Last column: nearest neighbours and their distance in Å.
Space group Pm-3m (No. 221)
One atom of each set of equivalent atoms:
1 Ti 0.0000 0.0000 0.0000  6 Ga 2.64
2 Ga 0.0000 0.0000 0.5000  2 Ti 2.64
3 I 0.5000 0.5000 0.5000  12 Ga 3.73

Values from the calculation:
Formation energy without anion corrections, meV/atom: 397
Raw total energy, hartree per atom: -0.1216
N(E_F), states/eV per cell: 7.61
Distance to the lowest polymorph of the same formula, meV/atom: 0



[8]
Here is an optimized crystal structure of TiGaI4 from the Alexandria database. Energies are from PBE.

Cell: 16.3291 4.2197 7.8316 Å, 90.00 115.92 90.00°
Last column: nearest neighbours and their distance in Å.
Space group C2/m (No. 12)
One atom of each set of equivalent atoms:
1 Ti 0.0000 0.0000 0.0000  6 I 2.77-2.88
2 Ga 0.0000 0.5000 0.5000  6 I 3.18-3.19
3 I 0.1079 0.5000 0.2456  2 Ti 2.88, 1 Ga 3.19
4 I 0.1135 0.0000 0.8209  1 Ti 2.77

Values from the calculation:
Formation energy without anion corrections, meV/atom: -611
Raw total energy, hartree per atom: -0.1273
N(E_F), states/eV per cell: 6.88



[9]
Here is an optimized crystal structure of Ti3GaI from the Alexandria database. Energies are from PBE.

Cell: 4.8938 4.8938 4.8938 Å, 90.00 90.00 90.00°
Last column: nearest neighbours and their distance in Å.
Space group Pm-3m (No. 221)
One atom of each set of equivalent atoms:
1 Ti 0.0000 0.0000 0.5000  2 Ga 2.45
2 Ga 0.0000 0.0000 0.0000  6 Ti 2.45
3 I 0.5000 0.5000 0.5000  12 Ti 3.46

Values from the calculation:
Formation energy without anion corrections, meV/atom: 628
Raw total energy, hartree per atom: -0.1846
N(E_F), states/eV per cell: 6.34
Distance to the lowest polymorph of the same formula, meV/atom: 0



[10]
Here is an optimized crystal structure of TlGaI4 from the Alexandria database. Energies are from PBE.

Cell: 8.2748 8.2457 16.4606 Å, 90.00 95.82 90.00°
Last column: nearest neighbours and their distance in Å.
Space group P2_1/c (No. 14)
One atom of each set of equivalent atoms:
1 Tl 0.2448 0.0142 0.1400  7 I 3.59-3.89
2 Ga 0.2540 0.1414 0.8600  4 I 2.59-2.60
3 I 0.0746 0.2449 0.4674  1 Ga 2.60
4 I 0.0773 0.1109 0.7216  1 Ga 2.59
5 I 0.3613 0.6412 0.4092  1 Ga 2.59
6 I 0.4898 0.1604 0.3407  1 Ga 2.59

Values from the calculation:
Formation energy without anion corrections, meV/atom: -580
Raw total energy, hartree per atom: -0.0923
N(E_F), states/eV per cell: 0.00
Distance to the lowest polymorph of the same formula, meV/atom: 0



[11]
Here is an optimized crystal structure of Tl4Ga3I8 from the Alexandria database. Energies are from PBE.

Cell: 13.4213 13.5193 9.5032 Å, 90.00 134.74 90.00°
Last column: nearest neighbours and their distance in Å.
Space group C2/m (No. 12)
One atom of each set of equivalent atoms:
1 Tl 0.0000 0.0000 0.0000  6 I 3.47-3.48
2 Tl 0.0000 0.5000 0.5000  6 I 3.49-3.52
3 Tl 0.2500 0.2500 0.0000  6 I 3.36-3.38
4 Ga 0.0000 0.0000 0.5000  6 I 3.22-3.27
5 Ga 0.2500 0.2500 0.5000  6 I 3.36-3.38
6 I 0.0000 0.2416 0.5000  3 Ga 3.27-3.36, 3 Tl 3.38-3.49
7 I 0.0000 0.2573 0.0000  3 Tl 3.36-3.48, 2 Ga 3.38
8 I 0.2473 0.0000 0.5144  3 Ga 3.22-3.38, 2 Tl 3.47-3.49
9 I 0.2489 0.0000 0.9794  1 Ga 3.24, 4 Tl 3.38-3.52

Values from the calculation:
Formation energy without anion corrections, meV/atom: -459
Raw total energy, hartree per atom: -0.0927
N(E_F), states/eV per cell: 20.20



[12]
Here is an optimized crystal structure of Tl3GaI4 from the Alexandria database. Energies are from PBE.

Cell: 13.9795 7.0347 7.0354 Å, 90.00 90.00 90.00°
Last column: nearest neighbours and their distance in Å.
Space group Pmn2_1 (No. 31)
One atom of each set of equivalent atoms:
1 Tl 0.0000 0.2497 0.9999  6 I 3.51-3.61
2 Tl 0.2500 0.2503 0.5000  6 I 3.50-3.52
3 Ga 0.0000 0.7339 0.5158  4 I 3.19-3.38
4 I 0.0000 0.2808 0.4998  1 Ga 3.19, 4 Tl 3.50-3.53
5 I 0.0000 0.7476 0.9699  1 Ga 3.20, 4 Tl 3.50-3.54
6 I 0.2414 0.7498 0.4998  1 Ga 3.38, 5 Tl 3.52-3.61

Values from the calculation:
Formation energy without anion corrections, meV/atom: -576
Raw total energy, hartree per atom: -0.0962
N(E_F), states/eV per cell: 0.00



[13]
Here is an optimized crystal structure of Tl2Ga2I from the Alexandria database. Energies are from PBE.

Cell: 9.0054 9.0054 3.7870 Å, 90.00 90.00 90.00°
Last column: nearest neighbours and their distance in Å.
Space group P4/mbm (No. 127)
One atom of each set of equivalent atoms:
1 Tl 0.1907 0.3093 0.0000  6 Ga 3.21-3.36, 2 I 3.27
2 Ga 0.1062 0.6062 0.5000  1 Ga 2.70
3 I 0.0000 0.0000 0.0000  4 Tl 3.27

Values from the calculation:
Formation energy without anion corrections, meV/atom: 30
Raw total energy, hartree per atom: -0.0896
N(E_F), states/eV per cell: 4.69
Distance to the lowest polymorph of the same formula, meV/atom: 53



[14]
Here is an optimized crystal structure of TlGaI2 from the Alexandria database. Energies are from PBE.

Cell: 4.9081 4.7106 13.1290 Å, 90.00 90.00 90.00°
Last column: nearest neighbours and their distance in Å.
Space group Pmc2_1 (No. 26)
One atom of each set of equivalent atoms:
1 Tl 0.0000 0.2333 0.0000  7 I 3.48-3.83, 2 Ga 3.75
2 Ga 0.5000 0.2883 0.2152  3 I 2.95-3.28
3 I 0.0000 0.2495 0.7251  4 Ga 3.28-3.53, 1 Tl 3.61
4 I 0.5000 0.2637 0.4396  1 Ga 2.95

Values from the calculation:
Formation energy without anion corrections, meV/atom: -483
Raw total energy, hartree per atom: -0.0958
N(E_F), states/eV per cell: 0.00
Distance to the lowest polymorph of the same formula, meV/atom: 16



[15]
Here is an optimized crystal structure of Tl3GaI from the Alexandria database. Energies are from PBE.

Cell: 6.3885 6.3885 6.3885 Å, 90.00 90.00 90.00°
Last column: nearest neighbours and their distance in Å.
Space group Pm-3m (No. 221)
One atom of each set of equivalent atoms:
1 Tl 0.0000 0.0000 0.5000  2 I 3.19
2 Ga 0.5000 0.5000 0.5000  12 Tl 4.52
3 I 0.0000 0.0000 0.0000  6 Tl 3.19

Values from the calculation:
Formation energy without anion corrections, meV/atom: 406
Raw total energy, hartree per atom: -0.0709
N(E_F), states/eV per cell: 5.40
Distance to the lowest polymorph of the same formula, meV/atom: 453



[16]
Here is an optimized crystal structure of TlGaI3 from the Alexandria database. Energies are from PBE.

Cell: 8.1872 9.0746 14.1326 Å, 90.00 123.79 90.00°
Last column: nearest neighbours and their distance in Å.
Space group P2_1/c (No. 14)
One atom of each set of equivalent atoms:
1 Tl 0.2334 0.1231 0.2734  6 I 3.55-3.77
2 Ga 0.1198 0.5952 0.0582  1 Ga 2.44, 3 I 2.63-2.65
3 I 0.0619 0.1777 0.9219  1 Ga 2.65
4 I 0.2955 0.6966 0.9608  1 Ga 2.65
5 I 0.3935 0.0002 0.7631  1 Ga 2.63

Values from the calculation:
Formation energy without anion corrections, meV/atom: -576
Raw total energy, hartree per atom: -0.0950
N(E_F), states/eV per cell: 0.00
Distance to the lowest polymorph of the same formula, meV/atom: 0



[17]
Here is an optimized crystal structure of Tl3GaI4 from the Alexandria database. Energies are from PBE.

Cell: 8.5810 9.8937 8.5319 Å, 90.00 109.52 90.00°
Last column: nearest neighbours and their distance in Å.
Space group P2/c (No. 13)
One atom of each set of equivalent atoms:
1 Tl 0.0000 0.1242 0.2500  6 I 3.48-3.61
2 Tl 0.0000 0.3734 0.7500  6 I 3.48-3.61
3 Tl 0.5000 0.3739 0.2500  6 I 3.50-3.51
4 Ga 0.5000 0.1205 0.7500  6 I 3.36-3.43
5 I 0.2556 0.3673 0.5078  1 Ga 3.43, 5 Tl 3.48-3.61
6 I 0.2649 0.1170 0.9986  2 Ga 3.36-3.38, 4 Tl 3.48-3.61

Values from the calculation:
Formation energy without anion corrections, meV/atom: -578
Raw total energy, hartree per atom: -0.0962
N(E_F), states/eV per cell: 0.00



[18]
Here is an optimized crystal structure of Tl2Ga2I from the Alexandria database. Energies are from PBE.

Cell: 8.5345 8.5345 3.9945 Å, 90.00 90.00 90.00°
Last column: nearest neighbours and their distance in Å.
Space group P4/mbm (No. 127)
One atom of each set of equivalent atoms:
1 Tl 0.1905 0.3095 0.0000  6 Ga 3.10-3.34
2 Ga 0.1132 0.6132 0.5000  1 Ga 2.73
3 I 0.0000 0.0000 0.5000  4 Ga 3.44, 8 Tl 3.69

Values from the calculation:
Formation energy without anion corrections, meV/atom: -23
Raw total energy, hartree per atom: -0.0915
N(E_F), states/eV per cell: 3.99
Distance to the lowest polymorph of the same formula, meV/atom: 0



[19]
Here is an optimized crystal structure of TlGa5I6 from the Alexandria database. Energies are from PBE.

Cell: 8.2257 14.2044 8.2229 Å, 90.00 109.41 90.00°
Last column: nearest neighbours and their distance in Å.
Space group C2/m (No. 12)
One atom of each set of equivalent atoms:
1 Tl 0.0000 0.0000 0.0000  6 I 3.46-3.48
2 Ga 0.0000 0.1651 0.5000  6 I 3.24-3.38
3 Ga 0.0000 0.3338 0.0000  6 I 3.32-3.36
4 Ga 0.0000 0.5000 0.5000  6 I 3.25-3.36
5 I 0.2371 0.5000 0.2525  5 Ga 3.25-3.38, 1 Tl 3.46
6 I 0.2403 0.3271 0.7413  5 Ga 3.24-3.37, 1 Tl 3.48

Values from the calculation:
Formation energy without anion corrections, meV/atom: -392
Raw total energy, hartree per atom: -0.0965
N(E_F), states/eV per cell: 0.00



[20]
Here is an optimized crystal structure of Tl5Ga2I12 from the Alexandria database. Energies are from PBE.

Cell: 16.5931 9.6419 13.5023 Å, 90.00 111.11 90.00°
Last column: nearest neighbours and their distance in Å.
Space group C2/m (No. 12)
One atom of each set of equivalent atoms:
1 Tl 0.0000 0.0000 0.0000  4 I 3.48
2 Tl 0.1708 0.5000 0.2724  3 I 3.19-3.36
3 Tl 0.2009 0.5000 0.9487  5 I 3.12-3.47
4 Ga 0.0000 0.1848 0.5000  4 I 2.51-2.72
5 I 0.0208 0.0000 0.6595  2 Ga 2.72
6 I 0.0279 0.5000 0.7529  2 Tl 3.12-3.19
7 I 0.1471 0.2891 0.5397  1 Ga 2.51
8 I 0.1647 0.2429 0.1020  4 Tl 3.36-3.48

Values from the calculation:
Formation energy without anion corrections, meV/atom: -460
Raw total energy, hartree per atom: -0.0875
N(E_F), states/eV per cell: 23.07